Here is LiNi2B after structural relaxation from Alexandria. Energies are from PBE.

a b c (Å): 2.4681 2.4681 6.5083
angles (deg): 90.00 90.00 90.00
Last column: nearest neighbours and their distance in Å.
Atoms (fractional coordinates):
Li (0.0000, 0.0000, 0.0000)  4 Li 2.47, 8 Ni 2.68
Ni (0.5000, 0.5000, 0.3126)  4 B 2.13
Ni (0.5000, 0.5000, 0.6874)  4 B 2.13
B (0.0000, 0.0000, 0.5000)  8 Ni 2.13

## Properties
VASP energy	-20.764	eV/cell